Entry from Alexandria: crystalline In3BiBr at its relaxed geometry (GGA-PBE).

POSCAR file:
```
In3BiBr
1.0
6.095 0.000 0.000
0.000 6.095 0.000
0.000 0.000 6.095
Bi Br In
1 1 3
Cartesian
0.000 0.000 0.000 Bi
3.048 3.048 3.048 Br
0.000 3.048 0.000 In
0.000 0.000 3.048 In
3.048 0.000 0.000 In
```

Uncorrected energy   -0.09379 Ha/atom
SG   Pm-3m
Energy relative to the lowest polymorph listed for this composition   0.00 kJ/mol of atoms
Magnetic moment   0.000 μB/f.u.